1.
A plane-wave DFT calculation with PBE-GGA was carried out for crystalline DyHoBe at its relaxed geometry.

final energy = -40.00 eV per cell

Cell and atoms, written as CIF:
```
data_DyHoBe
_chemical_formula_sum 'Dy4 Ho4 Be4'
_space_group_name_H-M_alt 'F -4 3 m'
_space_group_IT_number 216
_space_group_name_Hall 'F -4 2 3'
_cell_length_a 6.709
_cell_length_b 6.709
_cell_length_c 6.709
_cell_angle_alpha 90.00
_cell_angle_beta 90.00
_cell_angle_gamma 90.00
loop_
_atom_site_label
_atom_site_fract_x
_atom_site_fract_y
_atom_site_fract_z
Dy1 0.000 0.000 0.000
Ho1 0.250 0.250 0.750
Be1 0.000 0.000 0.500
```

***

2.
A plane-wave DFT calculation with PBE-GGA was carried out for crystalline Li2Cd2Sn at its relaxed geometry.

final energy = -19.59 eV per cell

Cell and atoms, written as CIF:
```
data_Li2Cd2Sn
_chemical_formula_sum 'Li4 Cd4 Sn2'
_space_group_name_H-M_alt 'I 4/m m m'
_space_group_IT_number 139
_space_group_name_Hall '-I 4 2'
_cell_length_a 4.147
_cell_length_b 4.147
_cell_length_c 11.848
_cell_angle_alpha 90.00
_cell_angle_beta 90.00
_cell_angle_gamma 90.00
loop_
_atom_site_label
_atom_site_fract_x
_atom_site_fract_y
_atom_site_fract_z
Li1 0.000 0.000 0.099
Cd1 0.000 0.500 0.250
Sn1 0.000 0.000 0.500
```

***

3.
A plane-wave DFT calculation with PBE-GGA was carried out for crystalline CsPrTl at its relaxed geometry.

energy above the most stable polymorph in this dataset = 0.0 meV/atom
final energy = -26.99 eV per cell

Cell and atoms, written as CIF:
```
data_CsPrTl
_chemical_formula_sum 'Cs4 Pr4 Tl4'
_space_group_name_H-M_alt 'F -4 3 m'
_space_group_IT_number 216
_space_group_name_Hall 'F -4 2 3'
_cell_length_a 8.269
_cell_length_b 8.269
_cell_length_c 8.269
_cell_angle_alpha 90.00
_cell_angle_beta 90.00
_cell_angle_gamma 90.00
loop_
_atom_site_label
_atom_site_fract_x
_atom_site_fract_y
_atom_site_fract_z
Cs1 0.000 0.000 0.000
Pr1 0.000 0.000 0.500
Tl1 0.250 0.250 0.250
```

***

4.
A plane-wave DFT calculation with PBE-GGA was carried out for crystalline Y2SnHg at its relaxed geometry.

final energy = -69.43 eV per cell

Cell and atoms, written as CIF:
```
data_Y2SnHg
_chemical_formula_sum 'Y8 Sn4 Hg4'
_space_group_name_H-M_alt 'F -4 3 m'
_space_group_IT_number 216
_space_group_name_Hall 'F -4 2 3'
_cell_length_a 7.587
_cell_length_b 7.587
_cell_length_c 7.587
_cell_angle_alpha 90.00
_cell_angle_beta 90.00
_cell_angle_gamma 90.00
loop_
_atom_site_label
_atom_site_fract_x
_atom_site_fract_y
_atom_site_fract_z
Y1 0.000 0.000 0.000
Y2 0.250 0.250 0.250
Sn1 0.000 0.000 0.500
Hg1 0.250 0.250 0.750
```

***

5.
A plane-wave DFT calculation with PBE-GGA was carried out for crystalline KReTeAuSe2 at its relaxed geometry.

final energy = -110.80 eV per cell

Cell and atoms, written as CIF:
```
data_KReTeAuSe2
_chemical_formula_sum 'K4 Re4 Te4 Au4 Se8'
_space_group_name_H-M_alt 'C m c m'
_space_group_IT_number 63
_space_group_name_Hall '-C 2c 2'
_cell_length_a 3.740
_cell_length_b 16.956
_cell_length_c 10.631
_cell_angle_alpha 90.00
_cell_angle_beta 90.00
_cell_angle_gamma 90.00
loop_
_atom_site_label
_atom_site_fract_x
_atom_site_fract_y
_atom_site_fract_z
K1 0.000 0.224 0.250
Re1 0.000 0.500 0.000
Te1 0.000 0.453 0.750
Au1 0.000 0.117 0.750
Se1 0.000 0.105 0.519
```

***

6.
A plane-wave DFT calculation with PBE-GGA was carried out for crystalline NbIrPd2 at its relaxed geometry.

E_form = -228.1 meV per atom
final energy = -120.85 eV per cell

Cell and atoms, written as CIF:
```
data_NbIrPd2
_chemical_formula_sum 'Nb4 Ir4 Pd8'
_space_group_name_H-M_alt 'F -4 3 m'
_space_group_IT_number 216
_space_group_name_Hall 'F -4 2 3'
_cell_length_a 6.315
_cell_length_b 6.315
_cell_length_c 6.315
_cell_angle_alpha 90.00
_cell_angle_beta 90.00
_cell_angle_gamma 90.00
loop_
_atom_site_label
_atom_site_fract_x
_atom_site_fract_y
_atom_site_fract_z
Nb1 0.000 0.000 0.000
Ir1 0.250 0.250 0.250
Pd1 0.000 0.000 0.500
Pd2 0.250 0.250 0.750
```

***

7.
A plane-wave DFT calculation with PBE-GGA was carried out for crystalline Sr2ZnTeO6 at its relaxed geometry.

final energy = -114.77 eV per cell

Cell and atoms, written as CIF:
```
data_Sr2ZnTeO6
_chemical_formula_sum 'Sr4 Zn2 Te2 O12'
_space_group_name_H-M_alt 'C 1 2/m 1'
_space_group_IT_number 12
_space_group_name_Hall '-C 2y'
_cell_length_a 9.730
_cell_length_b 5.611
_cell_length_c 5.690
_cell_angle_alpha 90.00
_cell_angle_beta 125.55
_cell_angle_gamma 90.00
loop_
_atom_site_label
_atom_site_fract_x
_atom_site_fract_y
_atom_site_fract_z
Sr1 0.250 0.000 0.247
Zn1 0.000 0.000 0.500
Te1 0.000 0.500 0.000
O1 0.034 0.257 0.795
O2 0.241 0.500 0.305
```

***

8.
A plane-wave DFT calculation with PBE-GGA was carried out for crystalline YCuGeTe3 at its relaxed geometry.

energy above the most stable polymorph in this dataset = 10.7 meV/atom
final energy = -110.15 eV per cell

Cell and atoms, written as CIF:
```
data_YCuGeTe3
_chemical_formula_sum 'Y4 Cu4 Ge4 Te12'
_space_group_name_H-M_alt 'C m c m'
_space_group_IT_number 63
_space_group_name_Hall '-C 2c 2'
_cell_length_a 4.152
_cell_length_b 14.181
_cell_length_c 11.140
_cell_angle_alpha 90.00
_cell_angle_beta 90.00
_cell_angle_gamma 90.00
loop_
_atom_site_label
_atom_site_fract_x
_atom_site_fract_y
_atom_site_fract_z
Y1 0.000 0.000 0.000
Cu1 0.000 0.475 0.250
Ge1 0.000 0.221 0.750
Te1 0.000 0.094 0.250
Te2 0.000 0.350 0.072
```

***

9.
A plane-wave DFT calculation with PBE-GGA was carried out for crystalline YEr2Bi3 at its relaxed geometry.

final energy = -32.88 eV per cell

Cell and atoms, written as CIF:
```
data_YEr2Bi3
_chemical_formula_sum 'Y1 Er2 Bi3'
_space_group_name_H-M_alt 'P -3 m 1'
_space_group_IT_number 164
_space_group_name_Hall '-P 3 2"'
_cell_length_a 4.4448
_cell_length_b 4.4448
_cell_length_c 10.9132
_cell_angle_alpha 90.00
_cell_angle_beta 90.00
_cell_angle_gamma 120.00
loop_
_atom_site_label
_atom_site_fract_x
_atom_site_fract_y
_atom_site_fract_z
Y1 0.0000 0.0000 0.0000
Er1 0.3333 0.6667 0.3334
Bi1 0.0000 0.0000 0.5000
Bi2 0.3333 0.6667 0.8318
```

***

10.
A plane-wave DFT calculation with PBE-GGA was carried out for crystalline BeFeSi2 at its relaxed geometry.

final energy = -87.82 eV per cell

Cell and atoms, written as CIF:
```
data_BeFeSi2
_chemical_formula_sum 'Be4 Fe4 Si8'
_space_group_name_H-M_alt 'F -4 3 m'
_space_group_IT_number 216
_space_group_name_Hall 'F -4 2 3'
_cell_length_a 5.559
_cell_length_b 5.559
_cell_length_c 5.559
_cell_angle_alpha 90.00
_cell_angle_beta 90.00
_cell_angle_gamma 90.00
loop_
_atom_site_label
_atom_site_fract_x
_atom_site_fract_y
_atom_site_fract_z
Be1 0.000 0.000 0.000
Fe1 0.250 0.250 0.250
Si1 0.000 0.000 0.500
Si2 0.250 0.250 0.750
```

***

11.
A plane-wave DFT calculation with PBE-GGA was carried out for crystalline Pr3Nd3Te2Ir at its relaxed geometry.

energy above the most stable polymorph in this dataset = 0.0 meV/atom
final energy = -51.40 eV per cell

Cell and atoms, written as CIF:
```
data_Pr3Nd3Te2Ir
_chemical_formula_sum 'Pr3 Nd3 Te2 Ir1'
_space_group_name_H-M_alt 'P -6 2 m'
_space_group_IT_number 189
_space_group_name_Hall 'P -6 -2'
_cell_length_a 8.7211
_cell_length_b 8.7211
_cell_length_c 4.0476
_cell_angle_alpha 90.00
_cell_angle_beta 90.00
_cell_angle_gamma 120.00
loop_
_atom_site_label
_atom_site_fract_x
_atom_site_fract_y
_atom_site_fract_z
Pr1 0.0000 0.4077 0.0000
Nd1 0.0000 0.7575 0.5000
Te1 0.3333 0.6667 0.5000
Ir1 0.0000 0.0000 0.0000
```

***

12.
A plane-wave DFT calculation with PBE-GGA was carried out for crystalline TbYCu2Si2 at its relaxed geometry.

final energy = -33.43 eV per cell

Cell and atoms, written as CIF:
```
data_TbYCu2Si2
_chemical_formula_sum 'Tb1 Y1 Cu2 Si2'
_space_group_name_H-M_alt 'P -3 m 1'
_space_group_IT_number 164
_space_group_name_Hall '-P 3 2"'
_cell_length_a 4.1388
_cell_length_b 4.1388
_cell_length_c 7.5585
_cell_angle_alpha 90.00
_cell_angle_beta 90.00
_cell_angle_gamma 120.00
loop_
_atom_site_label
_atom_site_fract_x
_atom_site_fract_y
_atom_site_fract_z
Tb1 0.0000 0.0000 0.0000
Y1 0.0000 0.0000 0.5000
Cu1 0.3333 0.6667 0.7499
Si1 0.3333 0.6667 0.2504
```